## ZnInCl (PBE-GGA)

Data for ZnInCl after structural relaxation.

Output
Crystal system   cubic
Size of the total moment   0.00 μB per atom
Total DFT energy (no corrections)   -2.138 eV per atom
E above lowest polymorph   145 meV/atom

Unit cell a=4.982 b=4.982 c=4.982 alpha=60.00 beta=60.00 gamma=60.00
Atoms (fractional coordinates):
1 Zn 0.000 0.000 0.000
2 In 0.750 0.750 0.750
3 Cl 0.250 0.250 0.250

***

## Dy12ErIn3 (PBE-GGA)

Data for Dy12ErIn3 after structural relaxation.

Output
Crystal system   tetragonal
ΔH_f (0 K)   -0.192 eV/atom
Size of the total moment   0.00 μB per atom
Total DFT energy (no corrections)   -4.442 eV per atom

Unit cell a=4.856 b=4.856 c=19.741 alpha=90.00 beta=90.00 gamma=90.00
Atoms (fractional coordinates):
1 Dy 0.000 0.000 0.000
2 Dy 0.000 0.000 0.246
3 Dy 0.000 0.000 0.500
4 Dy 0.000 0.000 0.754
5 Dy 0.000 0.500 0.123
6 Dy 0.000 0.500 0.370
7 Dy 0.000 0.500 0.630
8 Dy 0.000 0.500 0.877
9 Dy 0.500 0.000 0.123
10 Dy 0.500 0.000 0.370
11 Dy 0.500 0.000 0.630
12 Dy 0.500 0.000 0.877
13 Er 0.500 0.500 0.500
14 In 0.500 0.500 0.000
15 In 0.500 0.500 0.244
16 In 0.500 0.500 0.756

***

## In2FeAs (PBE-GGA)

Data for In2FeAs after structural relaxation.

Output
Crystal system   orthorhombic
ΔH_f (0 K)   0.365 eV/atom
Size of the total moment   0.64 μB per atom
Total DFT energy (no corrections)   -4.283 eV per atom

Unit cell a=5.217 b=5.217 c=3.020 alpha=90.00 beta=90.00 gamma=104.59
Atoms (fractional coordinates):
1 In 0.000 0.500 0.000
2 In 0.500 0.000 0.000
3 Fe 0.000 0.000 0.500
4 As 0.500 0.500 0.500

***

## Fe (PBE-GGA)

Data for Fe after structural relaxation.

Output
Crystal system   cubic
ΔH_f (0 K)   1.611 eV/atom
Size of the total moment   0.00 μB per atom
Total DFT energy (no corrections)   -6.852 eV per atom
E above lowest polymorph   1611 meV/atom

Unit cell a=5.194 b=5.194 c=5.194 alpha=109.47 beta=109.47 gamma=109.47
Atoms (fractional coordinates):
1 Fe 0.250 0.500 0.750
2 Fe 0.250 0.750 0.500
3 Fe 0.500 0.250 0.750
4 Fe 0.500 0.750 0.250
5 Fe 0.750 0.250 0.500
6 Fe 0.750 0.500 0.250

***

## CeSm6Dy3Er2 (PBE-GGA)

Data for CeSm6Dy3Er2 after structural relaxation.

Output
Crystal system   monoclinic
ΔH_f (0 K)   0.037 eV/atom
Size of the total moment   0.11 μB per atom
Total DFT energy (no corrections)   -4.728 eV per atom

Unit cell a=6.208 b=6.208 c=11.851 alpha=95.02 beta=95.02 gamma=120.00
Atoms (fractional coordinates):
1 Ce 0.000 0.000 0.000
2 Sm 0.083 0.415 0.249
3 Sm 0.249 0.249 0.751
4 Sm 0.415 0.083 0.249
5 Sm 0.585 0.917 0.751
6 Sm 0.751 0.751 0.249
7 Sm 0.917 0.585 0.751
8 Dy 0.167 0.833 0.500
9 Dy 0.500 0.500 0.500
10 Dy 0.833 0.167 0.500
11 Er 0.333 0.667 0.000
12 Er 0.667 0.333 0.000

***

## CsHF (PBE-GGA)

Data for CsHF after structural relaxation.

Output
Crystal system   monoclinic
Size of the total moment   0.00 μB per atom
Total DFT energy (no corrections)   -3.110 eV per atom
E above lowest polymorph   675 meV/atom

Unit cell a=4.625 b=4.604 c=10.086 alpha=90.00 beta=90.31 gamma=90.00
Atoms (fractional coordinates):
1 Cs 0.003 0.250 0.225
2 Cs 0.997 0.750 0.775
3 H 0.499 0.250 0.900
4 H 0.501 0.750 0.100
5 F 0.497 0.250 0.799
6 F 0.503 0.750 0.201

***

## Cs3MgCu2Br9 (PBE-GGA)

Data for Cs3MgCu2Br9 after structural relaxation.

Output
Crystal system   trigonal
Size of the total moment   0.00 μB per atom
Total DFT energy (no corrections)   -2.917 eV per atom

Unit cell a=7.542 b=7.542 c=9.253 alpha=90.00 beta=90.00 gamma=120.00
Atoms (fractional coordinates):
1 Cs 0.000 0.000 0.000
2 Cs 0.333 0.667 0.664
3 Cs 0.667 0.333 0.336
4 Mg 0.000 0.000 0.500
5 Cu 0.333 0.667 0.160
6 Cu 0.667 0.333 0.840
7 Br 0.000 0.500 0.000
8 Br 0.169 0.338 0.328
9 Br 0.169 0.831 0.328
10 Br 0.338 0.169 0.672
11 Br 0.500 0.000 0.000
12 Br 0.500 0.500 0.000
13 Br 0.662 0.831 0.328
14 Br 0.831 0.169 0.672
15 Br 0.831 0.662 0.672

***

## DyHoHg (PBE-GGA)

Data for DyHoHg after structural relaxation.

Output
Crystal system   orthorhombic
ΔH_f (0 K)   -0.363 eV/atom
Size of the total moment   0.00 μB per atom
Total DFT energy (no corrections)   -3.523 eV per atom
E above lowest polymorph   0 meV/atom

Unit cell a=7.057 b=5.093 c=9.206 alpha=90.00 beta=90.00 gamma=90.00
Atoms (fractional coordinates):
1 Dy 0.015 0.250 0.194
2 Dy 0.485 0.750 0.694
3 Dy 0.515 0.250 0.306
4 Dy 0.985 0.750 0.806
5 Ho 0.169 0.250 0.575
6 Ho 0.331 0.750 0.075
7 Ho 0.669 0.250 0.925
8 Ho 0.831 0.750 0.425
9 Hg 0.238 0.250 0.899
10 Hg 0.262 0.750 0.399
11 Hg 0.738 0.250 0.601
12 Hg 0.762 0.750 0.101

***

## La8NiSe3I4 (PBE-GGA)

Data for La8NiSe3I4 after structural relaxation.

Output
Crystal system   monoclinic
Size of the total moment   0.00 μB per atom
Total DFT energy (no corrections)   -5.193 eV per atom

Unit cell a=8.731 b=8.731 c=9.225 alpha=118.24 beta=118.24 gamma=60.01
Atoms (fractional coordinates):
1 La 0.225 0.751 0.700
2 La 0.226 0.226 0.701
3 La 0.249 0.775 0.300
4 La 0.264 0.264 0.293
5 La 0.736 0.736 0.707
6 La 0.751 0.225 0.700
7 La 0.774 0.774 0.299
8 La 0.775 0.249 0.300
9 Ni 0.000 0.000 0.500
10 Se 0.000 0.500 0.500
11 Se 0.500 0.000 0.500
12 Se 0.500 0.500 0.500
13 I 0.000 0.000 0.000
14 I 0.000 0.500 0.000
15 I 0.500 0.000 0.000
16 I 0.500 0.500 0.000

***

## AcLaSe2S (PBE-GGA)

Data for AcLaSe2S after structural relaxation.

Output
Crystal system   tetragonal
Size of the total moment   0.00 μB per atom
Total DFT energy (no corrections)   -5.937 eV per atom

Unit cell a=4.446 b=4.446 c=15.390 alpha=90.00 beta=90.00 gamma=90.00
Atoms (fractional coordinates):
1 Ac 0.250 0.250 0.121
2 Ac 0.750 0.750 0.879
3 La 0.250 0.250 0.610
4 La 0.750 0.750 0.390
5 Se 0.250 0.250 0.406
6 Se 0.250 0.250 0.793
7 Se 0.750 0.750 0.207
8 Se 0.750 0.750 0.594
9 S 0.250 0.750 0.000
10 S 0.750 0.250 0.000

***

## TlFeBr4 (PBE-GGA)

Data for TlFeBr4 after structural relaxation.

Output
Crystal system   monoclinic
Size of the total moment   0.83 μB per atom
Total DFT energy (no corrections)   -3.432 eV per atom
E above lowest polymorph   134 meV/atom

Unit cell a=11.692 b=11.692 c=9.238 alpha=111.59 beta=111.59 gamma=26.30
Atoms (fractional coordinates):
1 Tl 0.235 0.235 0.235
2 Tl 0.765 0.765 0.765
3 Fe 0.411 0.411 0.900
4 Fe 0.589 0.589 0.100
5 Br 0.087 0.087 0.088
6 Br 0.324 0.324 0.008
7 Br 0.333 0.333 0.627
8 Br 0.495 0.495 0.182
9 Br 0.505 0.505 0.818
10 Br 0.667 0.667 0.373
11 Br 0.676 0.676 0.992
12 Br 0.913 0.913 0.912

***

## K2LiTa2 (PBE-GGA)

Data for K2LiTa2 after structural relaxation.

Output
Crystal system   tetragonal
ΔH_f (0 K)   1.606 eV/atom
Size of the total moment   0.11 μB per atom
Total DFT energy (no corrections)   -3.957 eV per atom
E above lowest polymorph   249 meV/atom

Unit cell a=8.632 b=8.632 c=8.632 alpha=151.12 beta=151.12 gamma=41.30
Atoms (fractional coordinates):
1 K 0.250 0.750 0.500
2 K 0.750 0.250 0.500
3 Li 0.000 0.000 0.000
4 Ta 0.431 0.431 0.000
5 Ta 0.569 0.569 0.000